(1)
Here is a relaxed NdDy2Sc crystal from the Alexandria database. Energies are from GGA-PBE.

Calculated values
SG   No. 225
Calculated total energy   -4.92 eV/atom
Energy above the most stable polymorph in this dataset   11.2 kJ/mol of atoms
Crystal system   cubic
Calculated density   6.92 Mg/m³

a = 5.589 Å, b = 5.589 Å, c = 5.589 Å
α = 60.00°, β = 60.00°, γ = 60.00°
Atoms (fractional coordinates):
Sc  0.500  0.500  0.500
Dy  0.250  0.250  0.250
Dy  0.750  0.750  0.750
Nd  0.000  0.000  0.000

=====

(2)
Here is a relaxed As2WCl crystal from the Alexandria database. Energies are from GGA-PBE.

Calculated values
SG   No. 123
Calculated total energy   -5.11 eV/atom
Energy above the most stable polymorph in this dataset   90.2 kJ/mol of atoms
Crystal system   tetragonal
Calculated density   8.41 Mg/m³
Energy relative to the elements, uncorrected   352 kJ/mol of formula units

a = 5.004 Å, b = 3.816 Å, c = 3.816 Å
α = 90.00°, β = 90.00°, γ = 90.00°
Site moments in Bohr magnetons follow the coordinates.
Atoms (fractional coordinates):
W  0.500  0.000  0.500  2.04
As  0.000  0.000  0.000  -0.07
As  0.000  0.500  0.500  -0.07
Cl  0.500  0.500  0.000  -0.03

=====

(3)
Here is a relaxed CuSb3Br crystal from the Alexandria database. Energies are from GGA-PBE.

Calculated values
SG   No. 221
Calculated total energy   -2.35 eV/atom
Energy above the most stable polymorph in this dataset   80.9 kJ/mol of atoms
Crystal system   cubic
Calculated density   5.12 Mg/m³
Energy relative to the elements, uncorrected   616 kJ/mol of formula units

a = 5.486 Å, b = 5.486 Å, c = 5.486 Å
α = 90.00°, β = 90.00°, γ = 90.00°
Atoms (fractional coordinates):
Sb  0.000  0.500  0.000
Sb  0.000  0.000  0.500
Sb  0.500  0.000  0.000
Cu  0.500  0.500  0.500
Br  0.000  0.000  0.000

=====

(4)
Here is a relaxed KNd2ErSe4 crystal from the Alexandria database. Energies are from GGA-PBE.

Calculated values
SG   No. 10
Calculated total energy   -5.35 eV/atom
Crystal system   monoclinic
Calculated density   6.20 Mg/m³
Energy relative to the elements, uncorrected   -1320 kJ/mol of formula units

a = 4.190 Å, b = 7.380 Å, c = 7.411 Å
α = 71.47°, β = 90.00°, γ = 90.00°
Atoms (fractional coordinates):
Nd  0.500  0.000  0.500
Nd  0.000  0.000  0.000
Se  0.000  0.755  0.732
Se  0.500  0.741  0.265
Se  0.500  0.259  0.735
Se  0.000  0.245  0.268
Er  0.000  0.500  0.500
K  0.500  0.500  0.000

=====

(5)
Here is a relaxed HgGeBr2 crystal from the Alexandria database. Energies are from GGA-PBE.

Calculated values
SG   No. 122
Calculated total energy   -2.36 eV/atom
Energy above the most stable polymorph in this dataset   10.1 kJ/mol of atoms
Crystal system   tetragonal
Calculated density   3.63 Mg/m³
Energy relative to the elements, uncorrected   -112 kJ/mol of formula units

a = 8.231 Å, b = 8.231 Å, c = 8.255 Å
α = 60.10°, β = 60.10°, γ = 90.00°
Atoms (fractional coordinates):
Ge  0.250  0.750  0.500
Ge  0.500  0.500  0.000
Br  0.875  0.732  0.750
Br  0.268  0.625  0.250
Br  0.482  0.125  0.250
Br  0.375  0.518  0.750
Hg  0.000  0.000  0.000
Hg  0.750  0.250  0.500

=====

(6)
Here is a relaxed HoMg2Pd4 crystal from the Alexandria database. Energies are from GGA-PBE.

Calculated values
SG   No. 139
Calculated total energy   -4.65 eV/atom
Crystal system   tetragonal
Calculated density   8.00 Mg/m³

a = 5.585 Å, b = 5.585 Å, c = 5.585 Å
α = 116.37°, β = 106.14°, γ = 106.14°
Atoms (fractional coordinates):
Ho  0.000  0.000  0.000
Pd  0.500  0.000  0.000
Pd  0.500  0.500  0.500
Pd  0.000  0.000  0.500
Pd  0.000  0.500  0.000
Mg  0.500  0.500  0.000
Mg  0.500  0.000  0.500

=====

The highest calculated density belongs to which entry? As2WCl